Here is PrAl2CuAu after structural relaxation from OQMD via LeMat-Bulk. Energies are from PBE.

abc: 4.3510 4.3510 10.3208
angles: 90.00 90.00 90.00
Closest atoms and distances in Å follow each position.
Sites, in units of the cell vectors:
Pr: 0.2500 0.2500 0.2441  8 Al 3.29-3.33, 4 Cu 3.33, 4 Au 3.42
Pr: 0.7500 0.7500 0.7559  8 Al 3.29-3.33, 4 Cu 3.33, 4 Au 3.42
Al: 0.2500 0.2500 0.6433  1 Cu 2.43, 4 Au 2.63
Al: 0.2500 0.7500 0.0000  4 Cu 2.51
Al: 0.7500 0.2500 0.0000  4 Cu 2.51
Al: 0.7500 0.7500 0.3567  1 Cu 2.43, 4 Au 2.63
Cu: 0.2500 0.2500 0.8786  5 Al 2.43-2.51
Cu: 0.7500 0.7500 0.1214  5 Al 2.43-2.51
Au: 0.2500 0.7500 0.5000  4 Al 2.63
Au: 0.7500 0.2500 0.5000  4 Al 2.63

total magnetization = 0.01 μB per formula unit
energy = -44.08 eV per cell
mass density = 7.74 Mg/m³